Record 1
Here is LiTlMo2 after structural relaxation from the Alexandria database. Energies are from PBE-GGA.

Cell and atoms, written as extended XYZ:
```
4
Lattice="4.630 -1.386 0.000 4.630 1.386 0.000 -0.338 0.000 5.393" Properties=species:S:1:pos:R:3 pbc="T T T"
Li 0.000 0.000 0.000
Tl 6.869 0.000 1.161
Mo 2.027 0.000 3.895
Mo 4.346 0.000 2.847
```

Computed properties:
* polymorph energy (0 for the lowest one): 202 meV/atom
* DOS at the Fermi energy: 0.45 states/eV/atom
* space group: No. 8
* V: 69.2 Å³/f.u.
* M_tot: 0.000 μB/atom



Record 2
Here is NdHoGa2Pt5 after structural relaxation from the Alexandria database. Energies are from PBE-GGA.

Cell and atoms, written as extended XYZ:
```
9
Lattice="4.220 0.000 0.000 0.000 4.220 0.000 0.000 0.000 9.372" Properties=species:S:1:pos:R:3 pbc="T T T"
Nd 0.000 0.000 0.000
Ho 0.000 0.000 4.686
Ga 2.110 2.110 3.471
Ga 2.110 2.110 5.902
Pt 0.000 2.110 2.162
Pt 0.000 2.110 7.210
Pt 2.110 0.000 2.162
Pt 2.110 0.000 7.210
Pt 2.110 2.110 0.000
```

Computed properties:
* DOS at the Fermi energy: 0.46 states/eV/atom
* space group: No. 123
* total DFT energy (no corrections): -5.96 eV/atom
* V: 166.9 Å³/f.u.
* M_tot: 0.000 μB/atom



Record 3
Here is La5Nd4In4 after structural relaxation from the Alexandria database. Energies are from PBE-GGA.

Cell and atoms, written as extended XYZ:
```
13
Lattice="-6.377 6.377 2.641 6.377 -6.377 2.641 6.377 6.377 -2.641" Properties=species:S:1:pos:R:3 pbc="T T T"
La 0.000 0.000 0.000
La 7.601 3.925 0.000
La 3.925 5.153 0.000
La 2.452 1.224 2.641
La -1.224 2.452 2.641
Nd 4.905 1.182 0.000
Nd 5.195 -1.472 2.641
Nd 1.182 7.849 0.000
Nd 1.472 5.195 2.641
In 9.777 1.408 0.000
In 1.408 2.977 0.000
In 4.969 3.400 2.641
In -3.400 4.969 2.641
```

Computed properties:
* DOS at the Fermi energy: 1.32 states/eV/atom
* space group: No. 87
* total DFT energy (no corrections): -4.52 eV/atom
* V: 429.6 Å³/f.u.
* M_tot: 0.000 μB/atom



Record 4
Here is LiAg6F8 after structural relaxation from the Alexandria database. Energies are from PBE-GGA.

Cell and atoms, written as extended XYZ:
```
15
Lattice="7.463 0.000 0.000 -3.732 6.463 0.000 0.000 0.000 4.679" Properties=species:S:1:pos:R:3 pbc="T T T"
Li 0.000 0.000 0.000
Ag -2.218 4.140 1.252
Ag 1.256 2.472 1.252
Ag 2.769 0.149 3.427
Ag 0.963 6.315 1.252
Ag 2.476 3.991 3.427
Ag 5.950 2.324 3.427
F -2.516 4.997 3.629
F 0.662 1.786 3.629
F 1.878 0.320 1.050
F 0.000 4.309 1.497
F 3.732 2.154 3.182
F 1.854 6.143 3.629
F 3.070 4.677 1.050
F 6.247 1.466 1.050
```

Computed properties:
* DOS at the Fermi energy: 0.79 states/eV/atom
* E_form (uncorrected): -1.22 eV/atom
* space group: No. 147
* V: 225.7 Å³/f.u.
* M_tot: 0.000 μB/atom